[1]
Entry from Alexandria via LeMat-Bulk: a relaxed LaPm7Er3 crystal (PBE-GGA).

Results
For the energy above the lowest structure with this stoichiometry, the calculation gives 0 meV/atom. The total energy is -49.75 eV for the cell shown. As for the crystal system: trigonal. For the energy relative to the elements, the calculation gives 0.19 eV/atom.

Cell lengths 8.671, 7.204, 7.204 Å; angles 120.00, 90.00, 90.00 degrees
Fractional coordinates of all 11 atoms:
Pm1 0.458 0.833 0.666
Pm2 0.123 0.667 0.333
Pm3 0.458 0.833 0.167
Pm4 0.108 0.167 0.833
Pm5 0.108 0.666 0.833
Pm6 0.458 0.334 0.167
Pm7 0.108 0.167 0.334
La1 0.441 0.333 0.667
Er1 0.784 0.999 0.499
Er2 0.784 0.501 0.001
Er3 0.784 0.501 0.499

[2]
Entry from Alexandria via LeMat-Bulk: a relaxed PmSnIrRh crystal (PBE-GGA).

Results
The total energy is -27.09 eV for the cell shown. As for the crystal system: cubic. For the energy relative to the elements, the calculation gives -0.53 eV/atom.

Cell lengths 4.787, 4.787, 4.787 Å; angles 60.00, 60.00, 60.00 degrees
Fractional coordinates of all 4 atoms:
Ir1 0.500 0.500 0.500
Pm1 0.750 0.750 0.750
Rh1 0.000 0.000 0.000
Sn1 0.250 0.250 0.250

Among the records above, which one has the highest energy relative to the elements? LaPm7Er3